Record 1
The following is a DFT calculation (GGA-PBE) of an optimized crystal structure of GePtSe4.

```
GePtSe4
1.0
3.711 0.000 0.000
0.000 6.275 -1.126
0.000 0.094 12.402
Se Ge Pt
8 2 2
Direct
0.500 0.625 0.388
0.500 0.136 0.881
0.500 0.375 0.612
0.000 0.864 0.619
0.000 0.136 0.381
0.000 0.625 0.888
0.000 0.375 0.112
0.500 0.864 0.119
0.000 0.000 0.000
0.500 0.000 0.500
0.500 0.500 0.000
0.000 0.500 0.500
```

Values from the calculation:
- Raw formation energy: -0.3242 eV/atom
- E: -4.4236 eV/atom



Record 2
The following is a DFT calculation (GGA-PBE) of an optimized crystal structure of GePt2Se.

```
GePt2Se
1.0
4.601 0.000 0.000
0.000 4.601 0.000
2.301 2.301 7.500
Pt Ge Se
4 2 2
Direct
0.131 0.625 0.250
0.619 0.125 0.250
0.875 0.869 0.750
0.375 0.381 0.750
0.250 0.750 0.500
0.500 0.500 0.000
0.000 0.000 0.000
0.750 0.250 0.500
```

Values from the calculation:
- Raw formation energy: -0.1462 eV/atom
- D(E_F): 2.02 states/eV/cell
- E: -5.1920 eV/atom



Record 3
The following is a DFT calculation (GGA-PBE) of an optimized crystal structure of GePtSe.

```
GePtSe
1.0
6.094 0.000 0.000
0.000 6.312 0.584
0.000 -2.211 5.941
Ge Pt Se
4 4 4
Direct
0.376 0.856 0.894
0.876 0.644 0.606
0.876 0.144 0.106
0.376 0.356 0.394
0.005 0.256 0.494
0.505 0.744 0.506
0.005 0.756 0.995
0.505 0.244 0.005
0.621 0.154 0.596
0.121 0.846 0.404
0.621 0.654 0.097
0.121 0.346 0.903
```

Values from the calculation:
- Raw formation energy: -0.5337 eV/atom
- D(E_F): 0.48 states/eV/cell
- E: -5.2479 eV/atom



Record 4
The following is a DFT calculation (GGA-PBE) of an optimized crystal structure of GePt2Se3.

```
GePt2Se3
1.0
-2.963 -1.181 -3.875
0.076 -7.247 2.150
-5.321 4.672 2.646
Pt Se Ge
4 6 2
Direct
0.000 0.000 0.500
0.000 0.000 0.000
0.000 0.500 0.500
0.000 0.500 0.000
0.257 0.345 0.172
0.257 0.828 0.172
0.743 0.172 0.345
0.743 0.655 0.828
0.257 0.828 0.655
0.743 0.172 0.828
0.702 0.667 0.333
0.298 0.333 0.667
```

Values from the calculation:
- Raw formation energy: -0.3299 eV/atom
- D(E_F): 4.88 states/eV/cell
- E: -4.8554 eV/atom



Record 5
The following is a DFT calculation (GGA-PBE) of an optimized crystal structure of GePt2Se.

```
GePt2Se
1.0
0.000 3.226 3.226
3.226 0.000 3.226
3.226 3.226 0.000
Pt Ge Se
2 1 1
Direct
0.750 0.750 0.750
0.250 0.250 0.250
0.000 0.000 0.000
0.500 0.500 0.500
```

Values from the calculation:
- Raw formation energy: 0.0368 eV/atom
- D(E_F): 1.68 states/eV/cell
- E: -5.0090 eV/atom



Record 6
The following is a DFT calculation (GGA-PBE) of an optimized crystal structure of GePtSe3.

```
GePtSe3
1.0
-1.648 -4.365 -1.499
4.146 -2.100 1.555
-2.027 -0.745 4.399
Pt Se Ge
1 3 1
Direct
0.500 0.500 0.500
0.000 0.500 0.000
0.500 0.000 0.000
0.000 0.000 0.500
0.000 0.000 0.000
```

Values from the calculation:
- Raw formation energy: 0.9178 eV/atom
- D(E_F): 9.55 states/eV/cell
- E: -3.3046 eV/atom